Entry 1:
The following is a GGA-PBE calculation of a relaxed Re2Pt crystal, from the Alexandria database.

Cell and atoms, written as POSCAR:
```
Re2Pt
1.0
-1.351 2.006 4.169
1.351 -2.006 4.169
1.351 2.006 -4.169
Re Pt
2 1
direct
0.171 0.171 0.000
0.829 0.829 0.000
0.500 0.500 0.000
```

V = 45.2 Å³/cell
Offset from the most stable computed form = 0.0525 eV per atom
Total DFT energy (no corrections) = -10.3469 eV per atom
ΔH_f (0 K) = -35 meV per atom

---

Entry 2:
The following is a GGA-PBE calculation of a relaxed LiTc2Ru crystal, from the Alexandria database.

Cell and atoms, written as POSCAR:
```
LiTc2Ru
1.0
2.542 -4.240 0.000
2.542 4.240 0.000
-0.589 0.000 2.578
Li Tc Ru
1 2 1
direct
0.000 0.000 0.000
0.000 0.500 0.500
0.500 0.000 0.500
0.500 0.500 0.000
```

V = 55.6 Å³/cell
Offset from the most stable computed form = 0.1077 eV per atom
Total DFT energy (no corrections) = -7.7066 eV per atom
ΔH_f (0 K) = 274 meV per atom

---

Entry 3:
The following is a GGA-PBE calculation of a relaxed Ba6CuPt2I3 crystal, from the Alexandria database.

Cell and atoms, written as POSCAR:
```
Ba6CuPt2I3
1.0
4.029 -6.979 0.000
4.029 6.979 0.000
-2.687 0.000 8.773
Ba Cu Pt I
6 1 2 3
direct
0.088 0.433 0.798
0.222 0.222 0.202
0.433 0.088 0.798
0.567 0.912 0.202
0.778 0.778 0.798
0.912 0.567 0.202
0.500 0.500 0.000
0.167 0.833 0.000
0.833 0.167 0.000
0.000 0.000 0.500
0.335 0.665 0.500
0.665 0.335 0.500
```

V = 493.4 Å³/cell
Total DFT energy (no corrections) = -3.6884 eV per atom
Formation energy from raw total energies = -11.9 eV per formula unit

---

Entry 4:
The following is a GGA-PBE calculation of a relaxed Y4AlZn2Pt crystal, from the Alexandria database.

Cell and atoms, written as POSCAR:
```
Y4AlZn2Pt
1.0
2.520 1.455 8.237
-2.520 1.455 8.237
0.000 -2.910 8.237
Y Al Zn Pt
4 1 2 1
direct
0.121 0.121 0.121
0.371 0.371 0.371
0.629 0.629 0.629
0.879 0.879 0.879
0.500 0.500 0.500
0.244 0.244 0.244
0.756 0.756 0.756
0.000 0.000 0.000
```

V = 181.2 Å³/cell
Total DFT energy (no corrections) = -5.3856 eV per atom
ΔH_f (0 K) = -612 meV per atom

---

- Which of these has the lowest total DFT energy (no corrections)?
  Re2Pt